Entry 1:
A geometry-optimized FeTc2As2 structure, computed with PBE.

Output
Energy of formation in eV/atom: 0.297
Magnetic moment in μB per atom: 0.00
N(E_F) in states/eV per cell: 14.5
Final energy in eV per atom: -7.402

Cell lengths 6.9788, 6.9788, 2.9834 Å; angles 90.00, 90.00, 90.00 degrees
Fractional positions:
As (0.3449, 0.8449, 0.0000)
As (0.8449, 0.6551, 0.0000)
As (0.6551, 0.1551, 0.0000)
As (0.1551, 0.3449, 0.0000)
Tc (0.8528, 0.3528, 0.5000)
Tc (0.6472, 0.8528, 0.5000)
Tc (0.1472, 0.6472, 0.5000)
Tc (0.3528, 0.1472, 0.5000)
Fe (0.0000, 0.0000, 0.0000)
Fe (0.5000, 0.5000, 0.0000)

=====

Entry 2:
A geometry-optimized Ga2GeIr structure, computed with PBE.

Output
Energy of formation in eV/atom: 0.355
Magnetic moment in μB per atom: 0.00
N(E_F) in states/eV per cell: 5.2
Final energy in eV per atom: -4.528

Cell lengths 6.0342, 6.0342, 6.6373 Å; angles 62.96, 62.96, 90.00 degrees
Fractional positions:
Ge (0.5000, 0.5000, 0.0000)
Ge (0.2500, 0.7500, 0.5000)
Ga (0.1044, 0.6250, 0.2500)
Ga (0.8750, 0.8956, 0.7500)
Ga (0.3750, 0.3544, 0.7500)
Ga (0.6456, 0.1250, 0.2500)
Ir (0.7500, 0.2500, 0.5000)
Ir (0.0000, 0.0000, 0.0000)

=====

Entry 3:
A geometry-optimized DyLuBeAl structure, computed with PBE.

Output
Energy of formation in eV/atom: -0.137
Magnetic moment in μB per atom: 0.00
N(E_F) in states/eV per cell: 2.9
Final energy in eV per atom: -4.285

Cell lengths 4.9211, 4.9211, 4.9211 Å; angles 60.00, 60.00, 60.00 degrees
Fractional positions:
Lu (0.5000, 0.5000, 0.5000)
Al (0.7500, 0.7500, 0.7500)
Dy (0.0000, 0.0000, 0.0000)
Be (0.2500, 0.2500, 0.2500)

=====

Entry 4:
A geometry-optimized PmErO3 structure, computed with PBE.

Output
Magnetic moment in μB per atom: 0.00
Formation energy without anion corrections in eV per atom: -2.89
N(E_F) in states/eV per cell: 0.0
Final energy in eV per atom: -7.730

Cell lengths 4.2655, 4.2655, 4.2655 Å; angles 90.00, 90.00, 90.00 degrees
Fractional positions:
O (0.5000, 0.5000, 0.0000)
O (0.0000, 0.5000, 0.5000)
O (0.5000, 0.0000, 0.5000)
Er (0.5000, 0.5000, 0.5000)
Pm (0.0000, 0.0000, 0.0000)

=====

Entry 5:
A geometry-optimized Cs2AlCrBr6 structure, computed with PBE.

Output
Magnetic moment in μB per atom: 0.50
Formation energy without anion corrections in eV per atom: -1.14
N(E_F) in states/eV per cell: 2.0
Final energy in eV per atom: -3.656

Cell lengths 7.6497, 7.6497, 7.6623 Å; angles 60.05, 60.05, 90.00 degrees
Site moments in Bohr magnetons follow the coordinates.
Fractional positions:
Cs (0.2500, 0.7500, 0.5000)  0.00
Cs (0.7500, 0.2500, 0.5000)  0.00
Br (0.2599, 0.2599, 0.4801)  0.01
Br (0.7420, 0.2580, 0.0000)  0.01
Br (0.7401, 0.7401, 0.5199)  0.01
Br (0.2580, 0.2580, 0.0000)  0.01
Br (0.7420, 0.7420, 0.0000)  0.01
Br (0.2580, 0.7420, 0.0000)  0.01
Cr (0.0000, 0.0000, 0.0000)  4.10
Al (0.5000, 0.5000, 0.0000)  0.11

=====

Entry 6:
A geometry-optimized ZnCoSe4 structure, computed with PBE.

Output
Magnetic moment in μB per atom: 0.37
Formation energy without anion corrections in eV per atom: 0.85
N(E_F) in states/eV per cell: 3.8
Final energy in eV per atom: -2.867

Cell lengths 5.6682, 5.6682, 5.6682 Å; angles 60.00, 60.00, 60.00 degrees
Site moments in Bohr magnetons follow the coordinates.
Fractional positions:
Se (0.8750, 0.3750, 0.3750)  0.02
Se (0.3750, 0.8750, 0.3750)  0.02
Se (0.3750, 0.3750, 0.3750)  0.02
Se (0.3750, 0.3750, 0.8750)  0.02
Co (0.0000, 0.0000, 0.0000)  2.07
Zn (0.7500, 0.7500, 0.7500)  -0.01

=====

Entry 7:
A geometry-optimized NaY2As2 structure, computed with PBE.

Output
Energy of formation in eV/atom: -0.825
Magnetic moment in μB per atom: 0.00
N(E_F) in states/eV per cell: 7.2
Energy above the lowest structure with this stoichiometry in eV/atom: 0.189
Final energy in eV per atom: -5.534

Cell lengths 8.1537, 8.1537, 3.6508 Å; angles 90.00, 90.00, 90.00 degrees
Fractional positions:
Y (0.8587, 0.6413, 0.0000)
Y (0.6413, 0.1413, 0.0000)
Y (0.3587, 0.8587, 0.0000)
Y (0.1413, 0.3587, 0.0000)
As (0.1606, 0.6606, 0.5000)
As (0.8394, 0.3394, 0.5000)
As (0.3394, 0.1606, 0.5000)
As (0.6606, 0.8394, 0.5000)
Na (0.5000, 0.5000, 0.0000)
Na (0.0000, 0.0000, 0.0000)

=====

Entry 8:
A geometry-optimized Rb5Zr2Se6 structure, computed with PBE.

Output
Magnetic moment in μB per atom: 0.08
Formation energy without anion corrections in eV per atom: -1.30
Final energy in eV per atom: -4.592

Cell lengths 8.2085, 8.2085, 18.1645 Å; angles 79.71, 79.71, 64.58 degrees
Site moments in Bohr magnetons follow the coordinates.
Fractional positions:
Rb (0.3552, 0.6448, 0.7500)  0.00
Rb (0.7295, 0.9529, 0.7271)  0.00
Rb (0.6448, 0.3552, 0.2500)  0.00
Rb (0.0471, 0.2705, 0.7729)  0.00
Rb (0.2705, 0.0471, 0.2729)  0.00
Rb (0.2102, 0.6871, 0.4991)  0.00
Rb (0.3129, 0.7898, 0.0009)  0.00
Rb (0.7898, 0.3129, 0.5009)  0.00
Rb (0.6871, 0.2102, 0.9991)  0.00
Rb (0.9529, 0.7295, 0.2271)  0.00
Se (0.7886, 0.6521, 0.0731)  -0.01
Se (0.3929, 0.3221, 0.6403)  -0.01
Se (0.6521, 0.7886, 0.5731)  -0.01
Se (0.9098, 0.9788, 0.3725)  -0.01
Se (0.6071, 0.6779, 0.3597)  -0.01
Se (0.6779, 0.6071, 0.8597)  -0.01
Se (0.0212, 0.0902, 0.1275)  -0.01
Se (0.9788, 0.9098, 0.8725)  -0.01
Se (0.3479, 0.2114, 0.4269)  -0.01
Se (0.0902, 0.0212, 0.6275)  -0.01
Se (0.2114, 0.3479, 0.9269)  -0.01
Se (0.3221, 0.3929, 0.1403)  -0.01
Zr (0.0966, 0.3576, 0.0715)  0.34
Zr (0.3576, 0.0966, 0.5715)  0.34
Zr (0.9034, 0.6424, 0.9285)  0.34
Zr (0.6424, 0.9034, 0.4285)  0.34

=====

Entry 9:
A geometry-optimized Be3P structure, computed with PBE.

Output
Energy of formation in eV/atom: 0.235
Magnetic moment in μB per atom: 0.00
N(E_F) in states/eV per cell: 0.9
Energy above the lowest structure with this stoichiometry in eV/atom: 0.026
Final energy in eV per atom: -3.913

Cell lengths 3.0903, 3.0903, 4.2319 Å; angles 90.00, 90.00, 90.00 degrees
Fractional positions:
Be (0.5000, 0.5000, 0.2500)
Be (0.0000, 0.0000, 0.5045)
Be (0.0000, 0.0000, 0.9955)
P (0.5000, 0.5000, 0.7500)

=====

Entry 10:
A geometry-optimized LaEu2Er structure, computed with PBE.

Output
Energy of formation in eV/atom: 0.118
Magnetic moment in μB per atom: 3.80
N(E_F) in states/eV per cell: 6.0
Energy above the lowest structure with this stoichiometry in eV/atom: 0.000
Final energy in eV per atom: -7.392

Cell lengths 5.3658, 5.2394, 5.2394 Å; angles 90.00, 90.00, 90.00 degrees
Site moments in Bohr magnetons follow the coordinates.
Fractional positions:
Eu (0.0000, 0.5000, 0.0000)  6.91
Eu (0.0000, 0.0000, 0.5000)  6.91
La (0.5000, 0.0000, 0.0000)  0.17
Er (0.5000, 0.5000, 0.5000)  0.18

=====

Entry 11:
A geometry-optimized ReTePd3 structure, computed with PBE.

Output
Magnetic moment in μB per atom: 0.94
Formation energy without anion corrections in eV per atom: 1.25
N(E_F) in states/eV per cell: 1.8
Energy above the lowest structure with this stoichiometry in eV/atom: 0.140
Final energy in eV per atom: -4.983

Cell lengths 4.8970, 4.8970, 4.8970 Å; angles 90.00, 90.00, 90.00 degrees
Site moments in Bohr magnetons follow the coordinates.
Fractional positions:
Pd (0.5000, 0.0000, 0.0000)  0.06
Pd (0.0000, 0.0000, 0.5000)  0.08
Pd (0.0000, 0.5000, 0.0000)  0.02
Re (0.5000, 0.5000, 0.5000)  3.75
Te (0.0000, 0.0000, 0.0000)  0.03

=====

Which of these has the lowest final energy? PmErO3

=====

What is the final energy in the tenth record? -7.392 eV per atom